The following is a DFT calculation (GGA+U) of a relaxed CoTe3F crystal. Values from VASP.

```
&SYSTEM
  ibrav = 0, nat = 5, ntyp = 3
/
ATOMIC_SPECIES
Te 127.60 Te.upf
Co 58.93 Co.upf
F 19.00 F.upf
CELL_PARAMETERS angstrom
-1.572 3.971 -2.372
-4.139 -2.327 -1.153
-2.067 1.639 4.113
ATOMIC_POSITIONS angstrom
Te -2.069 -1.163 -0.576
Te -1.033 0.819 2.056
Te -0.786 1.986 -1.186
Co 0.000 0.000 0.000
F -3.889 1.642 0.294
```

E above lowest polymorph ... 0.0000 eV per atom
Total magnetization ... 0.000 μB per atom
Crystal system ... cubic
Total DFT energy (no corrections) ... -14.92 eV for the cell shown